The following is a GGA-PBE calculation of crystalline PrDyScSe3 at its relaxed geometry, from Alexandria.

a = 4.0810 Å, b = 8.4212 Å, c = 9.2872 Å
α = 104.18°, β = 90.00°, γ = 90.00°
Sites, in units of the cell vectors:
1 Se 0.7500 0.2410 0.4922
2 Se 0.7500 0.8975 0.1173
3 Se 0.7500 0.4333 0.1774
4 Se 0.2500 0.7590 0.5078
5 Se 0.2500 0.5667 0.8226
6 Se 0.2500 0.1025 0.8827
7 Pr 0.7500 0.8197 0.7802
8 Pr 0.2500 0.1803 0.2198
9 Dy 0.7500 0.3430 0.8559
10 Dy 0.2500 0.6570 0.1441
11 Sc 0.2500 0.1009 0.5979
12 Sc 0.7500 0.8991 0.4021

As for the space group: No. 11. As for the formation energy (no corrections): -1577 meV per atom. As for the theoretical density: 6.281 Mg/m³. The value obtained for the total energy is -5.939 eV per atom.